# 1
# AsIr2Pb

A relaxed structure of AsIr2Pb (PBE, Alexandria via LeMat-Bulk).

Calculated values
The value obtained for the total moment is 0.0002 μB/atom. The total energy is -24.77 eV per cell.

Lattice parameters (Å, degrees): 10.2568 10.2568 10.2568 17.10 17.10 17.10
Element x y z (fractional)
Pb1 0.5160 0.5160 0.5160
As1 0.7239 0.7239 0.7239
Ir1 0.9995 0.9995 0.9995
Ir2 0.2606 0.2606 0.2606

***

# 2
# Pr10DyEr4

A relaxed structure of Pr10DyEr4 (PBE, Alexandria via LeMat-Bulk).

Calculated values
The value obtained for the total moment is 0.0002 μB/atom. The total energy is -60.57 eV per cell.

Lattice parameters (Å, degrees): 7.8589 9.6083 9.6083 80.37 65.86 65.86
Element x y z (fractional)
Pr1 0.2500 0.5000 0.5000
Pr2 0.6501 0.3005 0.8987
Pr3 0.0495 0.1013 0.3005
Pr4 0.4512 0.8987 0.6995
Pr5 0.8492 0.6995 0.1013
Pr6 0.3499 0.6995 0.1013
Pr7 0.7500 0.5000 0.5000
Pr8 0.1508 0.3005 0.8987
Pr9 0.5488 0.1013 0.3005
Pr10 0.9505 0.8987 0.6995
Dy1 0.0000 0.0000 0.0000
Er1 0.3995 0.8010 0.3999
Er2 0.7994 0.6001 0.8010
Er3 0.2006 0.3999 0.1990
Er4 0.6005 0.1990 0.6001

***

# 3
# KErAsO4

A relaxed structure of KErAsO4 (PBE, Alexandria via LeMat-Bulk).

Calculated values
The value obtained for the total moment is 0.0283 μB/atom. The total energy is -87.05 eV per cell. The calculation puts the uncorrected formation energy at -1.912 eV/atom.

Lattice parameters (Å, degrees): 6.4651 6.6766 6.6766 62.33 61.04 61.04
Element x y z (fractional)
K1 0.5000 0.0000 0.5000
K2 0.0000 0.0000 0.5000
Er1 0.0000 0.0000 0.0000
Er2 0.0000 0.5000 0.5000
As1 0.6385 0.6115 0.1115
As2 0.3615 0.3885 0.8885
O1 0.7522 0.7021 0.7936
O2 0.2478 0.7064 0.7979
O3 0.7522 0.2936 0.2021
O4 0.2478 0.2979 0.2064
O5 0.2490 0.7310 0.2310
O6 0.7890 0.7310 0.2310
O7 0.2110 0.2690 0.7690
O8 0.7510 0.2690 0.7690

***

# 4
# Sc3SbPt

A relaxed structure of Sc3SbPt (PBE, Alexandria via LeMat-Bulk).

Calculated values
The value obtained for the total moment is 0.0000 μB/atom. The total energy is -31.92 eV per cell. The calculation puts the uncorrected formation energy at -0.552 eV/atom.

Lattice parameters (Å, degrees): 5.0671 5.0671 5.0671 90.00 90.00 90.00
Element x y z (fractional)
Sc1 0.0000 0.5000 0.0000
Sc2 0.0000 0.0000 0.5000
Sc3 0.5000 0.0000 0.0000
Sb1 0.5000 0.5000 0.5000
Pt1 0.0000 0.0000 0.0000